No. 1
This record from Alexandria describes LaCuSi2 after structural relaxation. The functional is PBE-GGA.

Properties
Formation energy (no corrections) in eV per atom: -0.33

Cell and atoms, written as POSCAR:
```
LaCuSi2
1.0
4.466 0.000 0.000
0.000 4.093 0.000
-0.432 0.000 4.678
La Cu Si
1 1 2
direct
0.000 0.000 0.000
0.628 0.500 0.361
0.133 0.500 0.522
0.454 0.000 0.549
```



No. 2
This record from Alexandria describes RePb3O6 after structural relaxation. The functional is PBE-GGA.

Properties
Energy above the lowest structure with this stoichiometry in eV/atom: 0.015
Formation energy (no corrections) in eV per atom: -1.28

Cell and atoms, written as POSCAR:
```
RePb3O6
1.0
5.718 0.000 0.000
0.000 6.449 0.000
-5.510 0.000 8.597
Re Pb O
2 6 12
direct
0.000 0.000 0.000
0.000 0.500 0.500
0.275 0.048 0.773
0.275 0.452 0.273
0.500 0.000 0.500
0.500 0.500 0.000
0.725 0.548 0.727
0.725 0.952 0.227
0.118 0.068 0.216
0.118 0.432 0.716
0.223 0.742 0.569
0.223 0.758 0.069
0.320 0.152 0.021
0.320 0.348 0.521
0.680 0.652 0.479
0.680 0.848 0.979
0.777 0.242 0.931
0.777 0.258 0.431
0.882 0.568 0.284
0.882 0.932 0.784
```



No. 3
This record from Alexandria describes Ce5As4O after structural relaxation. The functional is PBE-GGA.

Properties
Formation energy (no corrections) in eV per atom: -1.60

Cell and atoms, written as POSCAR:
```
Ce5As4O
1.0
-4.588 4.588 2.962
4.588 -4.588 2.962
4.588 4.588 -2.962
Ce As O
5 4 1
direct
0.000 0.000 0.000
0.274 0.654 0.812
0.462 0.274 0.620
0.654 0.842 0.380
0.842 0.462 0.188
0.151 0.359 0.395
0.359 0.964 0.209
0.756 0.151 0.791
0.964 0.756 0.605
0.620 0.620 0.000
```



No. 4
This record from Alexandria describes Tb3Dy3Y after structural relaxation. The functional is PBE-GGA.

Properties
Energy above the lowest structure with this stoichiometry in eV/atom: 0.000
Energy of formation in eV/atom: 0.010

Cell and atoms, written as POSCAR:
```
Tb3Dy3Y
1.0
9.577 0.000 0.000
-4.789 8.294 0.000
0.000 0.000 5.671
Tb Dy Y
6 6 2
direct
0.046 0.238 0.250
0.193 0.954 0.250
0.238 0.193 0.750
0.762 0.807 0.250
0.807 0.046 0.750
0.954 0.762 0.750
0.094 0.475 0.750
0.381 0.906 0.750
0.475 0.381 0.250
0.525 0.619 0.750
0.619 0.094 0.250
0.906 0.525 0.250
0.333 0.667 0.250
0.667 0.333 0.750
```



No. 5
This record from Alexandria describes Y2ErTlN after structural relaxation. The functional is PBE-GGA.

Properties
Formation energy (no corrections) in eV per atom: -0.96

Cell and atoms, written as POSCAR:
```
Y2ErTlN
1.0
4.831 0.000 0.000
0.000 4.831 0.000
0.000 0.000 4.772
Y Er Tl N
2 1 1 1
direct
0.000 0.500 0.000
0.500 0.000 0.000
0.000 0.000 0.500
0.500 0.500 0.500
0.000 0.000 0.000
```



No. 6
This record from Alexandria describes U2TiV after structural relaxation. The functional is PBE-GGA.

Properties
Energy of formation in eV/atom: 0.274

Cell and atoms, written as POSCAR:
```
U2TiV
1.0
2.746 0.000 0.000
0.000 2.746 0.000
0.000 0.000 9.567
U Ti V
2 1 1
direct
0.000 0.000 0.242
0.000 0.000 0.758
0.500 0.500 0.500
0.500 0.500 0.000
```



The evaluated electronic total energy for the records listed, in turn: -5.30; -6.61; -6.93; -4.87; -6.59; -9.62 eV/atom.
The evaluated size of the total moment for the records listed, in turn: 0.00; 1.96; 4.17; 0.00; 0.00; 0.48 μB per cell.